A geometry-optimized LiZrRh2 structure, computed with PBE.

The structure in POSCAR format:
```
LiZrRh2
1.0
4.201 0.000 0.000
0.000 4.201 0.000
0.000 0.000 3.484
Li Zr Rh
1 1 2
Direct
0.000 0.000 0.000
0.500 0.500 0.000
0.000 0.500 0.500
0.500 0.000 0.500
```

Values from the calculation:
Fermi-level density of states: 2.0 states/eV/f.u.
total magnetization: 0.00 μB/f.u.
energy of formation: -602 meV per atom
space-group type: P4/mmm

A geometry-optimized YAg structure, computed with PBE.

The structure in POSCAR format:
```
YAg
1.0
4.755 0.000 0.000
-2.378 4.118 0.000
0.000 0.000 10.587
Y Ag
4 4
Direct
0.333 0.667 0.101
0.333 0.667 0.399
0.667 0.333 0.601
0.667 0.333 0.899
0.000 0.000 0.250
0.000 0.000 0.750
0.333 0.667 0.750
0.667 0.333 0.250
```

Values from the calculation:
Fermi-level density of states: 2.9 states/eV/f.u.
total magnetization: 0.00 μB/f.u.
energy of formation: -26 meV per atom
space-group type: P6_3/mmc

A geometry-optimized TlBRh3 structure, computed with PBE.

The structure in POSCAR format:
```
TlBRh3
1.0
2.910 -5.962 0.000
2.910 5.962 0.000
0.000 0.000 4.214
Tl B Rh
2 2 6
Direct
0.136 0.864 0.000
0.864 0.136 0.000
0.380 0.620 0.500
0.620 0.380 0.500
0.000 0.500 0.500
0.244 0.244 0.500
0.378 0.622 0.000
0.500 0.000 0.500
0.622 0.378 0.000
0.756 0.756 0.500
```

Values from the calculation:
Fermi-level density of states: 4.7 states/eV/f.u.
total magnetization: 0.00 μB/f.u.
energy of formation: -133 meV per atom
space-group type: Cmmm

A geometry-optimized CsCd2InI8 structure, computed with PBE.

The structure in POSCAR format:
```
CsCd2InI8
1.0
7.657 0.000 0.000
-0.192 8.421 0.000
-1.293 -3.636 9.385
Cs Cd In I
1 2 1 8
Direct
0.000 0.000 0.000
0.460 0.544 0.198
0.540 0.456 0.802
0.000 0.500 0.500
0.096 0.496 0.210
0.187 0.817 0.639
0.320 0.301 0.545
0.472 0.761 0.028
0.528 0.239 0.972
0.680 0.699 0.455
0.813 0.183 0.361
0.904 0.504 0.790
```

Values from the calculation:
formation energy without anion corrections: -8.386 eV/f.u.
Fermi-level density of states: 0.0 states/eV/f.u.
total magnetization: 0.00 μB/f.u.
space-group type: P-1

A geometry-optimized Pr3Zn2Si4 structure, computed with PBE.

The structure in POSCAR format:
```
Pr3Zn2Si4
1.0
5.647 -2.087 0.000
5.647 2.087 0.000
-2.942 0.000 8.106
Pr Zn Si
3 2 4
Direct
0.000 0.000 0.000
0.381 0.381 0.312
0.619 0.619 0.688
0.321 0.321 0.675
0.679 0.679 0.325
0.101 0.101 0.401
0.276 0.276 0.944
0.724 0.724 0.056
0.899 0.899 0.599
```

Values from the calculation:
formation energy without anion corrections: -5.164 eV/f.u.
Fermi-level density of states: 4.1 states/eV/f.u.
total magnetization: 0.00 μB/f.u.
space-group type: C2/m

A geometry-optimized MgBC structure, computed with PBE.

The structure in POSCAR format:
```
MgBC
1.0
8.105 0.000 0.000
0.000 3.608 0.000
-0.673 0.000 5.380
Mg B C
4 4 4
Direct
0.136 0.000 0.326
0.364 0.500 0.674
0.636 0.500 0.326
0.864 0.000 0.674
0.067 0.500 0.632
0.433 0.000 0.368
0.567 0.000 0.632
0.933 0.500 0.368
0.018 0.500 0.886
0.482 0.000 0.114
0.518 0.000 0.886
0.982 0.500 0.114
```

Values from the calculation:
Fermi-level density of states: 0.9 states/eV/f.u.
total magnetization: 0.00 μB/f.u.
energy of formation: 248 meV per atom
space-group type: C2/m

A geometry-optimized BaCd3Ge structure, computed with PBE.

The structure in POSCAR format:
```
BaCd3Ge
1.0
5.439 0.000 0.000
0.000 5.439 0.000
0.000 0.000 5.439
Ba Cd Ge
1 3 1
Direct
0.000 0.000 0.000
0.000 0.500 0.500
0.500 0.000 0.500
0.500 0.500 0.000
0.500 0.500 0.500
```

Values from the calculation:
Fermi-level density of states: 2.8 states/eV/f.u.
total magnetization: 0.00 μB/f.u.
energy of formation: -27 meV per atom
space-group type: Pm-3m

A geometry-optimized Hf2In2Ga structure, computed with PBE.

The structure in POSCAR format:
```
Hf2In2Ga
1.0
7.086 0.000 0.000
0.000 7.086 0.000
0.000 0.000 4.311
Hf In Ga
4 4 2
Direct
0.170 0.330 0.000
0.330 0.830 0.000
0.670 0.170 0.000
0.830 0.670 0.000
0.137 0.637 0.500
0.363 0.137 0.500
0.637 0.863 0.500
0.863 0.363 0.500
0.000 0.000 0.500
0.500 0.500 0.500
```

Values from the calculation:
Fermi-level density of states: 2.6 states/eV/f.u.
total magnetization: 0.00 μB/f.u.
energy of formation: 88 meV per atom
space-group type: P4/mbm

A geometry-optimized K3Ca2OsO6 structure, computed with PBE.

The structure in POSCAR format:
```
K3Ca2OsO6
1.0
2.934 -5.078 0.000
2.934 5.078 0.000
-1.970 0.000 6.129
K Ca Os O
3 2 1 6
Direct
0.000 0.000 0.000
0.333 0.667 0.000
0.667 0.333 0.000
0.167 0.833 0.500
0.833 0.167 0.500
0.500 0.500 0.500
0.148 0.438 0.316
0.272 0.272 0.684
0.438 0.148 0.316
0.562 0.852 0.684
0.728 0.728 0.316
0.852 0.562 0.684
```

Values from the calculation:
formation energy without anion corrections: -22.465 eV/f.u.
total magnetization: 3.00 μB/f.u.
space-group type: C2/m

A geometry-optimized Ho2AgPb3Se6 structure, computed with PBE.

The structure in POSCAR format:
```
Ho2AgPb3Se6
1.0
9.882 -2.081 0.000
9.882 2.081 0.000
-3.045 0.000 7.939
Ho Ag Pb Se
2 1 3 6
Direct
0.162 0.162 0.304
0.838 0.838 0.696
0.500 0.500 0.000
0.153 0.153 0.801
0.500 0.500 0.500
0.847 0.847 0.199
0.012 0.012 0.234
0.319 0.319 0.450
0.324 0.324 0.916
0.676 0.676 0.084
0.681 0.681 0.550
0.988 0.988 0.766
```

Values from the calculation:
formation energy without anion corrections: -11.044 eV/f.u.
Fermi-level density of states: 4.3 states/eV/f.u.
total magnetization: 0.69 μB/f.u.
space-group type: C2/m

A geometry-optimized Pr3SmTm3Se8 structure, computed with PBE.

The structure in POSCAR format:
```
Pr3SmTm3Se8
1.0
4.107 2.371 6.829
-4.107 2.371 6.829
0.000 -4.742 6.829
Pr Sm Tm Se
3 1 3 8
Direct
0.000 0.500 0.500
0.500 0.000 0.500
0.500 0.500 0.000
0.500 0.500 0.500
0.000 0.000 0.500
0.000 0.500 0.000
0.500 0.000 0.000
0.231 0.754 0.754
0.243 0.243 0.243
0.246 0.246 0.769
0.246 0.769 0.246
0.754 0.231 0.754
0.754 0.754 0.231
0.757 0.757 0.757
0.769 0.246 0.246
```

Values from the calculation:
formation energy without anion corrections: -27.475 eV/f.u.
Fermi-level density of states: 6.7 states/eV/f.u.
total magnetization: 0.00 μB/f.u.
space-group type: R-3m

A geometry-optimized Ba2Cd3Pd4 structure, computed with PBE.

The structure in POSCAR format:
```
Ba2Cd3Pd4
1.0
3.061 -8.775 0.000
3.061 8.775 0.000
0.000 0.000 7.873
Ba Cd Pd
4 6 8
Direct
0.104 0.896 0.916
0.396 0.604 0.416
0.604 0.396 0.584
0.896 0.104 0.084
0.000 0.000 0.500
0.015 0.485 0.750
0.485 0.015 0.250
0.500 0.500 0.000
0.515 0.985 0.750
0.985 0.515 0.250
0.167 0.833 0.510
0.177 0.323 0.750
0.323 0.177 0.250
0.333 0.667 0.010
0.667 0.333 0.990
0.677 0.823 0.750
0.823 0.677 0.250
0.833 0.167 0.490
```

Values from the calculation:
Fermi-level density of states: 3.8 states/eV/f.u.
total magnetization: 0.00 μB/f.u.
energy of formation: -469 meV per atom
space-group type: Cmce

| no. | total DFT energy (no corrections) (eV/atom) |
| --- | --- |
| 1 | -6.8931 |
| 2 | -4.6837 |
| 3 | -6.3524 |
| 4 | -2.1841 |
| 5 | -4.8603 |
| 6 | -5.5842 |
| 7 | -1.8840 |
| 8 | -5.5942 |
| 9 | -5.8950 |
| 10 | -4.5903 |
| 11 | -5.8549 |
| 12 | -3.5088 |